A relaxed TeAuCl2 crystal. Source: the Alexandria database, functional GGA-PBE.

Output
- Total magnetization: 0.98 μB per formula unit
- ΔE to the lowest computed polymorph: 0.0985 eV per atom
- ρ: 5.325 g/cm³

```
data_TeAuCl2
_chemical_formula_sum 'Te2 Au2 Cl4'
_cell_length_a 3.763
_cell_length_b 7.392
_cell_length_c 8.866
_cell_angle_alpha 90.00
_cell_angle_beta 90.00
_cell_angle_gamma 90.00
_symmetry_space_group_name_H-M 'I m m 2'
_symmetry_Int_Tables_number 44
loop_
_symmetry_equiv_pos_as_xyz
'x,y,z'
'-x,-y,z'
'-x,y,z'
'x,-y,z'
'x+1/2,y+1/2,z+1/2'
'-x+1/2,-y+1/2,z+1/2'
'-x+1/2,y+1/2,z+1/2'
'x+1/2,-y+1/2,z+1/2'
loop_
_atom_site_label
_atom_site_fract_x
_atom_site_fract_y
_atom_site_fract_z
Te1 0.000 0.000 0.000
Au1 0.000 0.500 0.711
Cl1 0.000 0.000 0.398
Cl2 0.000 0.500 0.261
```